NaPrEr2Se4, relaxed, DFT PBE-GGA; formation energy without anion corrections = -1.73 eV/atom; total energy = -43.0 eV/cell; space group = P2/m
1.0
7.1757 0.0000 0.0000
0.0000 4.0922 0.0000
-2.3309 0.0000 6.8526
Na Pr Er Se
1 1 2 4
direct
0.0000 0.0000 0.0000 Na
0.5000 0.5000 0.0000 Pr
0.0000 0.5000 0.5000 Er
0.5000 0.0000 0.5000 Er
0.2397 0.0000 0.7348 Se
0.2528 0.5000 0.2655 Se
0.7472 0.5000 0.7345 Se
0.7603 0.0000 0.2652 Se